Below is a relaxed Cs2SrAu crystal, with properties calculated at the PBE-GGA level.

Cell: 4.6759 4.6759 13.8616 Å, 80.29 80.29 60.00°
Closest atoms and distances in Å follow each position.
Fractional positions:
1 Cs 0.1107 0.1107 0.6679  3 Au 3.54
2 Cs 0.8893 0.8893 0.3321  3 Au 3.54
3 Sr 0.0000 0.0000 0.0000  2 Cs 4.52, 6 Sr 4.68
4 Au 0.5000 0.5000 0.5000  6 Cs 3.54

Summary:
Total moment (μB per cell): 0.001
E (hartree per atom): -0.0621